{"formula": "Y2MnAlN", "functional": "GGA-PBE", "state": "relaxed", "dos_at_fermi_per_ev_atom": 0.272, "space_group": "P4/mmm, No. 123", "formation_energy_uncorrected_mev_per_atom": -693, "cell": [[4.934, 0.000, 0.000], [0.000, 4.934, 0.000], [0.000, 0.000, 3.663]], "species": ["Y", "Y", "Mn", "Al", "N"], "frac_coords": [[0.000, 0.500, 0.000], [0.500, 0.000, 0.000], [0.000, 0.000, 0.500], [0.500, 0.500, 0.500], [0.000, 0.000, 0.000]]}

---

{"formula": "Tb7PmAl4", "functional": "GGA-PBE", "state": "relaxed", "dos_at_fermi_per_ev_atom": 1.054, "formation_energy_ev_per_atom": -0.06, "space_group": "C2/m, No. 12", "cell": [[6.964, -2.760, 0.000], [6.964, 2.760, 0.000], [-5.927, 0.000, 8.633]], "species": ["Tb", "Tb", "Tb", "Tb", "Tb", "Tb", "Tb", "Pm", "Al", "Al", "Al", "Al"], "frac_coords": [[0.000, 0.000, 0.000], [0.203, 0.203, 0.645], [0.290, 0.290, 0.123], [0.434, 0.434, 0.610], [0.566, 0.566, 0.390], [0.710, 0.710, 0.877], [0.797, 0.797, 0.355], [0.500, 0.500, 0.000], [0.054, 0.054, 0.762], [0.177, 0.177, 0.332], [0.823, 0.823, 0.668], [0.946, 0.946, 0.238]]}

---

{"formula": "Te2AuSe4", "functional": "GGA-PBE", "state": "relaxed", "de_polymorph_ev_per_fu": 0.00, "space_group": "P1, No. 1", "formation_energy_uncorrected_mev_per_atom": 35, "cell": [[7.364, 0.000, 0.000], [0.952, 7.402, 0.000], [1.146, 1.720, 8.182]], "species": ["Te", "Te", "Te", "Te", "Au", "Au", "Se", "Se", "Se", "Se", "Se", "Se", "Se", "Se"], "frac_coords": [[0.000, 0.000, 0.000], [0.037, 0.543, 0.841], [0.343, 0.313, 0.314], [0.816, 0.236, 0.472], [0.470, 0.844, 0.658], [0.895, 0.422, 0.157], [0.055, 0.562, 0.339], [0.153, 0.032, 0.412], [0.241, 0.202, 0.820], [0.305, 0.699, 0.918], [0.467, 0.457, 0.523], [0.637, 0.988, 0.396], [0.730, 0.276, 0.985], [0.796, 0.888, 0.822]]}

---

{"formula": "K2HoGaTe4", "functional": "GGA-PBE", "state": "relaxed", "dos_at_fermi_per_ev_atom": 0.000, "space_group": "I-42m, No. 121", "formation_energy_uncorrected_mev_per_atom": -949, "cell": [[-4.372, 4.372, 3.690], [4.372, -4.372, 3.690], [4.372, 4.372, -3.690]], "species": ["K", "K", "Ho", "Ga", "Te", "Te", "Te", "Te"], "frac_coords": [[0.000, 0.500, 0.500], [0.500, 0.000, 0.500], [0.000, 0.000, 0.000], [0.500, 0.500, 0.000], [0.105, 0.105, 0.653], [0.451, 0.451, 0.347], [0.549, 0.895, 0.000], [0.895, 0.549, 0.000]]}

---

Short version: mass density = 5097 6831 5719 4844 kg/m3, in the order given.